one) DFT (GGA-PBEsol) results for crystalline TcSb2Mo at its relaxed geometry. Values from VASP.

Its total magnetic moment is 0.0 μB/f.u. The value obtained for the volume is 77.5 Å³/cell. The space group is P4mm (99). The crystal system is tetragonal.

Structure (Quantum ESPRESSO input):
```
&SYSTEM
  ibrav = 0, nat = 4, ntyp = 3
/
ATOMIC_SPECIES
Tc 98.00 Tc.upf
Sb 121.76 Sb.upf
Mo 95.94 Mo.upf
ATOMIC_POSITIONS angstrom
Tc 0.000 0.000 0.000
Sb 0.000 0.000 3.416
Sb 1.546 1.546 6.340
Mo 1.546 1.546 1.512
CELL_PARAMETERS angstrom
3.093 0.000 0.000
0.000 3.093 0.000
0.000 0.000 8.106
```

---

two) DFT (GGA-PBEsol) results for crystalline TcSb2Mo at its relaxed geometry. Values from VASP.

Its total magnetic moment is 0.0 μB/f.u. The value obtained for the volume is 249.3 Å³/cell. The space group is R3m (160). The crystal system is trigonal.

Structure (Quantum ESPRESSO input):
```
&SYSTEM
  ibrav = 0, nat = 12, ntyp = 3
/
ATOMIC_SPECIES
Tc 98.00 Tc.upf
Sb 121.76 Sb.upf
Mo 95.94 Mo.upf
ATOMIC_POSITIONS angstrom
Tc 0.000 0.000 0.000
Tc 0.000 1.763 20.573
Tc 1.527 0.882 10.286
Sb 0.000 0.000 8.093
Sb 0.000 0.000 14.485
Sb 0.000 1.763 4.198
Sb 0.000 1.763 28.665
Sb 1.527 0.882 18.379
Sb 1.527 0.882 24.771
Mo 0.000 0.000 22.501
Mo 0.000 1.763 12.215
Mo 1.527 0.882 1.929
CELL_PARAMETERS angstrom
3.054 0.000 0.000
-1.527 2.645 0.000
0.000 0.000 30.859
```

---

Each structure's energy above the most stable one, in eV/atom: one) 0.000; two) 0.190.